*one*
Entry from Alexandria via LeMat-Bulk: AsPd3Cl after structural relaxation (GGA-PBE).

Output
Space group: No. 221

POSCAR file:
```
AsPd3Cl
1.0
-1.7049 0.1179 4.2572
-4.2585 0.0104 -1.7057
-0.0535 -4.5859 0.1056
As Pd Cl
1 3 1
direct
0.5000 0.5000 0.5000
0.0000 0.5000 0.0000
0.0000 0.0000 0.5000
0.5000 0.0000 0.0000
0.0000 0.0000 0.0000
```



*two*
Entry from Alexandria via LeMat-Bulk: AsPd3Cl after structural relaxation (GGA-PBE).

Output
Space group: No. 221

POSCAR file:
```
AsPd3Cl
1.0
4.7187 0.0000 0.0000
0.0000 4.7187 0.0000
0.0000 0.0000 4.7187
As Pd Cl
1 3 1
direct
0.0000 0.0000 0.0000
0.0000 0.5000 0.0000
0.0000 0.0000 0.5000
0.5000 0.0000 0.0000
0.5000 0.5000 0.5000
```



In terms of stability, *two* leads; the second structure lies 333 meV per atom higher.



*one*
Entry from Alexandria via LeMat-Bulk: AsPd2Cl after structural relaxation (GGA-PBE).

Output
Space group: No. 225

POSCAR file:
```
AsPd2Cl
1.0
-4.4182 -0.8539 0.6523
-3.0548 3.3338 -0.4789
-2.8572 -0.0253 -3.5372
As Pd Cl
1 2 1
direct
0.5000 0.5000 0.5000
0.2500 0.2500 0.2500
0.7500 0.7500 0.7500
0.0000 0.0000 0.0000
```



*two*
Entry from Alexandria via LeMat-Bulk: AsPd2Cl after structural relaxation (GGA-PBE).

Output
Space group: No. 122

POSCAR file:
```
AsPd2Cl
1.0
6.4005 0.0000 0.0000
0.0000 6.4005 0.0000
3.2003 3.2003 4.1091
As Pd Cl
2 4 2
direct
0.0000 0.0000 0.0000
0.7500 0.2500 0.5000
0.6530 0.1250 0.2500
0.0970 0.6250 0.2500
0.3750 0.3470 0.7500
0.8750 0.9030 0.7500
0.5000 0.5000 0.0000
0.2500 0.7500 0.5000
```



In terms of stability, *two* leads; the second structure lies 137 meV per atom higher.



*one*
Entry from Alexandria via LeMat-Bulk: AsPdSCl2 after structural relaxation (GGA-PBE).

Output
Space group: No. 123

POSCAR file:
```
AsPdSCl2
1.0
-1.1010 -1.1520 -4.4858
-4.2705 -1.5319 1.4416
-1.8235 4.4332 -0.6909
As S Pd Cl
1 1 1 2
direct
0.5000 0.5000 0.5000
0.0000 0.0000 0.5000
0.0000 0.0000 0.0000
0.0000 0.5000 0.0000
0.5000 0.0000 0.0000
```



*two*
Entry from Alexandria via LeMat-Bulk: AsPdSCl2 after structural relaxation (GGA-PBE).

Output
Space group: No. 123

POSCAR file:
```
AsPdSCl2
1.0
-0.8847 3.9022 2.8788
-3.8544 1.2098 -2.8244
-2.8968 -2.7152 2.7902
As S Pd Cl
1 1 1 2
direct
0.0000 0.0000 0.0000
0.0000 0.0000 0.5000
0.5000 0.5000 0.5000
0.0000 0.5000 0.0000
0.5000 0.0000 0.0000
```



In terms of stability, *one* leads; the second structure lies 11 meV per atom higher.



*one*
Entry from Alexandria via LeMat-Bulk: AsPdSe2Cl after structural relaxation (GGA-PBE).

Output
Space group: No. 123

POSCAR file:
```
AsPdSe2Cl
1.0
-0.1071 4.8989 0.5959
-0.8402 0.5692 -4.8307
-4.9226 -0.2088 0.8316
As Se Pd Cl
1 2 1 1
direct
0.0000 0.0000 0.5000
0.0000 0.5000 0.0000
0.5000 0.0000 0.0000
0.0000 0.0000 0.0000
0.5000 0.5000 0.5000
```



*two*
Entry from Alexandria via LeMat-Bulk: AsPdSe2Cl after structural relaxation (GGA-PBE).

Output
Space group: No. 123

POSCAR file:
```
AsPdSe2Cl
1.0
4.9256 0.0000 0.0000
0.0000 4.9256 0.0000
0.0000 0.0000 4.8752
As Se Pd Cl
1 2 1 1
direct
0.0000 0.0000 0.5000
0.0000 0.5000 0.0000
0.5000 0.0000 0.0000
0.5000 0.5000 0.5000
0.0000 0.0000 0.0000
```



In terms of stability, *one* leads; the second structure lies 611 meV per atom higher.



*one*
Entry from Alexandria via LeMat-Bulk: As2PdSeCl after structural relaxation (GGA-PBE).

Output
Space group: No. 123

POSCAR file:
```
As2PdSeCl
1.0
4.9456 0.0000 0.0000
0.0000 4.9456 0.0000
0.0000 0.0000 4.9529
As Se Pd Cl
2 1 1 1
direct
0.0000 0.5000 0.0000
0.5000 0.0000 0.0000
0.0000 0.0000 0.5000
0.0000 0.0000 0.0000
0.5000 0.5000 0.5000
```



*two*
Entry from Alexandria via LeMat-Bulk: As2PdSeCl after structural relaxation (GGA-PBE).

Output
Space group: No. 123

POSCAR file:
```
As2PdSeCl
1.0
-2.7127 2.9946 2.5761
-2.7934 -3.6638 1.3175
2.9390 -0.7954 4.0195
As Se Pd Cl
2 1 1 1
direct
0.0000 0.5000 0.0000
0.5000 0.0000 0.0000
0.0000 0.0000 0.5000
0.5000 0.5000 0.5000
0.0000 0.0000 0.0000
```



In terms of stability, *one* leads; the second structure lies 568 meV per atom higher.



*one*
Entry from Alexandria via LeMat-Bulk: AsPtCl2 after structural relaxation (GGA-PBE).

Output
Space group: No. 44

POSCAR file:
```
AsPtCl2
1.0
8.3726 0.0559 0.0060
6.4444 5.3453 -0.0060
-7.2517 -3.1308 2.7775
As Pt Cl
1 1 2
direct
0.4456 0.9456 0.5000
0.5399 0.5399 0.0000
0.8700 0.8700 0.0000
0.6444 0.1444 0.5000
```



*two*
Entry from Alexandria via LeMat-Bulk: AsPtCl2 after structural relaxation (GGA-PBE).

Output
Space group: No. 216

POSCAR file:
```
AsPtCl2
1.0
-1.0011 0.5637 4.5159
-4.3768 -0.5481 1.5022
-1.1205 -3.6896 2.6163
As Pt Cl
1 1 2
direct
0.5000 0.5000 0.5000
0.7500 0.7500 0.7500
0.0000 0.0000 0.0000
0.2500 0.2500 0.2500
```



*three*
Entry from Alexandria via LeMat-Bulk: AsPtCl2 after structural relaxation (GGA-PBE).

Output
Space group: No. 123

POSCAR file:
```
AsPtCl2
1.0
2.9716 0.0000 0.0000
0.0000 2.9716 0.0000
0.0000 0.0000 8.5898
As Pt Cl
1 1 2
direct
0.5000 0.5000 0.7500
0.5000 0.5000 0.2500
0.0000 0.0000 0.0309
0.0000 0.0000 0.4691
```



*four*
Entry from Alexandria via LeMat-Bulk: AsPtCl2 after structural relaxation (GGA-PBE).

Output
Space group: No. 8

POSCAR file:
```
AsPtCl2
1.0
-2.7136 -2.7356 -0.5179
0.7483 -3.3660 -1.7961
2.0611 -3.3606 7.2401
As Pt Cl
1 1 2
direct
0.9013 0.9013 0.3285
0.5671 0.5671 0.4533
0.9021 0.9021 0.0637
0.1295 0.1295 0.6545
```



In terms of stability, *four* leads; the second structure lies 149 meV per atom higher.